Entry 1:
Entry from the Alexandria database: a relaxed structure of CuGe (PBE).

Computed properties:
Energy of formation in kJ per mole of atoms: 14.1
Symmetry: No. 83

Cell and atoms, written as extended XYZ:
```
16
Lattice="8.1133 0.0000 0.0000 0.0000 8.1133 0.0000 0.0000 0.0000 4.0222" Properties=species:S:1:pos:R:3 pbc="T T T"
Ge 5.8248 3.7126 2.0111
Ge 1.0961 2.1641 0.0000
Ge 2.1641 7.0172 0.0000
Ge 4.4006 5.8248 2.0111
Ge 7.0172 5.9491 0.0000
Ge 5.9491 1.0961 0.0000
Ge 2.2884 4.4006 2.0111
Ge 3.7126 2.2884 2.0111
Cu 0.6212 6.4234 2.0111
Cu 6.4234 7.4921 2.0111
Cu 1.6898 0.6212 2.0111
Cu 1.0548 4.7401 0.0000
Cu 7.0585 3.3732 0.0000
Cu 4.7401 7.0585 0.0000
Cu 7.4921 1.6898 2.0111
Cu 3.3732 1.0548 0.0000
```



Entry 2:
Entry from the Alexandria database: a relaxed structure of CuGe (PBE).

Computed properties:
Energy of formation in kJ per mole of atoms: 26.8
Symmetry: No. 140

Cell and atoms, written as extended XYZ:
```
16
Lattice="-1.9535 -7.9084 -1.8640 7.5839 -1.0869 -3.3371 1.6662 -1.4125 4.2466" Properties=species:S:1:pos:R:3 pbc="T T T"
Ge 6.7708 -4.6778 -1.5274
Ge 0.1572 -3.1431 -1.1071
Ge 3.4911 -2.0607 0.6299
Ge 1.1690 -7.3823 -2.9141
Ge 0.5257 -5.7299 0.5729
Ge 4.4614 -1.6129 -2.2869
Ge 3.8054 -8.3470 -1.5844
Ge 5.4731 -5.8521 -4.0939
Cu 5.7460 -6.9590 -1.8841
Cu 2.0977 -1.7552 -1.4069
Cu 1.5506 -3.4486 0.9296
Cu 5.6252 -2.8476 -0.4692
Cu 5.6069 -3.4431 -3.3452
Cu 0.0234 -5.5521 -1.8559
Cu 1.6713 -7.5601 -0.4853
Cu 3.5326 -7.2400 -3.7942
```



Entry 3:
Entry from the Alexandria database: a relaxed structure of CuGe (PBE).

Computed properties:
Energy of formation in kJ per mole of atoms: 41.9
Symmetry: No. 217

Cell and atoms, written as extended XYZ:
```
16
Lattice="7.4254 0.0000 0.0000 0.0000 7.4254 0.0000 0.0000 0.0000 7.4254" Properties=species:S:1:pos:R:3 pbc="T T T"
Cu 5.0801 5.0801 5.0801
Cu 6.0581 6.0581 1.3674
Cu 5.0801 2.3453 2.3453
Cu 1.3674 6.0581 6.0581
Cu 2.3453 5.0801 2.3453
Cu 2.3453 2.3453 5.0801
Cu 6.0581 1.3674 6.0581
Cu 1.3674 1.3674 1.3674
Ge 6.4276 0.9978 0.9978
Ge 2.7149 2.7149 2.7149
Ge 4.7106 2.7149 4.7106
Ge 6.4276 6.4276 6.4276
Ge 2.7149 4.7106 4.7106
Ge 0.9978 6.4276 0.9978
Ge 4.7106 4.7106 2.7149
Ge 0.9978 0.9978 6.4276
```



Entry 4:
Entry from the Alexandria database: a relaxed structure of CuGe (PBE).

Computed properties:
Energy of formation in kJ per mole of atoms: 11.8
Symmetry: No. 11

Cell and atoms, written as extended XYZ:
```
4
Lattice="3.2887 0.0000 -0.0307 0.0000 4.0293 0.0000 -1.6608 0.0000 4.6437" Properties=species:S:1:pos:R:3 pbc="T T T"
Ge 1.6645 1.0073 1.3266
Ge -0.0366 3.0220 3.2864
Cu 0.0056 3.0220 0.7579
Cu 1.6223 1.0073 3.8551
```



Entry 5:
Entry from the Alexandria database: a relaxed structure of CuGe (PBE).

Computed properties:
Energy of formation in kJ per mole of atoms: 57.5
Symmetry: No. 223

Cell and atoms, written as extended XYZ:
```
12
Lattice="6.7367 0.0000 0.0000 0.0000 6.7367 0.0000 0.0000 0.0000 6.7367" Properties=species:S:1:pos:R:3 pbc="T T T"
Ge 0.0000 1.6842 3.3683
Ge 5.0525 3.3683 0.0000
Ge 3.3683 0.0000 1.6842
Ge 0.0000 5.0525 3.3683
Ge 3.3683 0.0000 5.0525
Ge 1.6842 3.3683 0.0000
Cu 1.6842 0.0000 3.3683
Cu 5.0525 0.0000 3.3683
Cu 3.3683 1.6842 0.0000
Cu 0.0000 3.3683 5.0525
Cu 0.0000 3.3683 1.6842
Cu 3.3683 5.0525 0.0000
```



Entry 6:
Entry from the Alexandria database: a relaxed structure of Cu3GeH (PBE).

Computed properties:
Relative energy among the computed polymorphs in meV/atom: 0
Symmetry: No. 221

Cell and atoms, written as extended XYZ:
```
5
Lattice="-2.1533 -1.4014 -2.8084 -1.0743 -2.8710 2.2563 -2.9491 2.0691 1.2286" Properties=species:S:1:pos:R:3 pbc="T T T"
Cu -0.5371 -1.4355 1.1282
Cu -1.0766 -0.7007 -1.4042
Cu -1.4745 1.0345 0.6143
H 0.0000 0.0000 0.0000
Ge -3.0883 -1.1017 0.3383
```



Entry 7:
Entry from the Alexandria database: a relaxed structure of CuGeH3 (PBE).

Computed properties:
Relative energy among the computed polymorphs in meV/atom: 0
Symmetry: No. 221

Cell and atoms, written as extended XYZ:
```
5
Lattice="3.5348 0.0000 0.0000 0.0000 3.5348 0.0000 0.0000 0.0000 3.5348" Properties=species:S:1:pos:R:3 pbc="T T T"
H 0.0000 1.7674 0.0000
H 0.0000 0.0000 1.7674
H 1.7674 0.0000 0.0000
Ge 1.7674 1.7674 1.7674
Cu 0.0000 0.0000 0.0000
```



Entry 8:
Entry from the Alexandria database: a relaxed structure of CuGeH (PBE).

Computed properties:
Relative energy among the computed polymorphs in meV/atom: 0
Symmetry: No. 9

Cell and atoms, written as extended XYZ:
```
18
Lattice="5.1690 0.0000 0.0000 2.5845 7.6862 0.1427 2.5845 1.7443 6.1730" Properties=species:S:1:pos:R:3 pbc="T T T"
Cu 5.9163 6.7778 3.3348
Cu 1.8371 2.0626 0.1770
Cu 5.8990 2.6239 4.7917
Cu 3.1466 3.4357 1.9448
Cu 4.4390 5.5949 1.7766
Cu 4.6069 8.1509 5.1027
H 5.6099 4.1661 5.2158
H 2.9592 1.8760 1.4773
H 6.9785 7.5635 6.2709
H 4.7942 6.5913 4.6352
H 4.7280 7.1370 2.2006
H 5.9439 2.8482 3.1131
Ge 4.6896 0.7384 0.7666
Ge 5.6269 3.4195 1.6106
Ge 7.0784 5.6357 1.3581
Ge 7.2955 8.1348 4.7684
Ge 3.2596 2.6647 4.3732
Ge 8.2329 5.4536 3.9245
```



Entry 9:
Entry from the Alexandria database: a relaxed structure of CuGe3H (PBE).

Computed properties:
Relative energy among the computed polymorphs in meV/atom: 0
Symmetry: No. 221

Cell and atoms, written as extended XYZ:
```
5
Lattice="4.2076 0.0000 0.0000 0.0000 4.2076 0.0000 0.0000 0.0000 4.2076" Properties=species:S:1:pos:R:3 pbc="T T T"
Ge 0.0000 2.1038 0.0000
Ge 0.0000 0.0000 2.1038
Ge 2.1038 0.0000 0.0000
H 0.0000 0.0000 0.0000
Cu 2.1038 2.1038 2.1038
```



Entry 10:
Entry from the Alexandria database: a relaxed structure of CuGeH2 (PBE).

Computed properties:
Relative energy among the computed polymorphs in meV/atom: 297
Symmetry: No. 225

Cell and atoms, written as extended XYZ:
```
4
Lattice="0.0000 2.6768 2.6768 2.6768 0.0000 2.6768 2.6768 2.6768 0.0000" Properties=species:S:1:pos:R:3 pbc="T T T"
H 1.3384 1.3384 1.3384
H 4.0152 4.0152 4.0152
Cu 0.0000 0.0000 0.0000
Ge 2.6768 2.6768 2.6768
```



Entry 11:
Entry from the Alexandria database: a relaxed structure of CuGeH3 (PBE).

Computed properties:
Relative energy among the computed polymorphs in meV/atom: 217
Symmetry: No. 221

Cell and atoms, written as extended XYZ:
```
5
Lattice="-0.1898 -2.7311 -2.4272 3.6296 -0.4199 0.1887 -0.4194 -2.3981 2.7311" Properties=species:S:1:pos:R:3 pbc="T T T"
H -0.2097 -1.1991 1.3656
H -0.0949 -1.3655 -1.2136
H 1.8148 -0.2099 0.0943
Ge 0.0000 0.0000 0.0000
Cu 1.5102 -2.7745 0.2463
```



Entry 12:
Entry from the Alexandria database: a relaxed structure of CuGe3H (PBE).

Computed properties:
Relative energy among the computed polymorphs in meV/atom: 416
Symmetry: No. 221

Cell and atoms, written as extended XYZ:
```
5
Lattice="-3.4089 0.6604 -3.1312 3.1037 -0.4324 -3.4701 -0.7797 -4.6085 -0.1231" Properties=species:S:1:pos:R:3 pbc="T T T"
Ge -0.3898 -2.3043 -0.0616
Ge 1.5518 -0.2162 -1.7351
Ge -1.7045 0.3302 -1.5656
Cu 0.0000 0.0000 0.0000
H -0.5425 -2.1902 -3.3622
```



Looking at E_tot for the records above, in order, we have -4.210 -4.079 -3.922 -4.235 -3.761 -3.879 -3.236 -3.762 -3.775 -3.132 -3.018 -3.359 eV/atom.
Looking at DOS at the Fermi energy for the records above, in order, we have 0.6 0.9 0.2 0.6 1.6 1.2 1.1 0.6 1.3 0.8 1.2 2.8 states/eV/f.u..
Looking at total moment for the records above, in order, we have 0.0000 0.0000 0.0000 0.0000 0.0000 0.0000 0.0000 0.0000 0.0000 0.0000 0.0000 0.0000 μB/atom.